Below is crystalline SrAg2GeSe4 at its relaxed geometry, with properties calculated at the PBE level.

Cell: 6.8559 7.1391 9.4788 Å, 90.00 90.00 90.00°
Sites, in units of the cell vectors:
Sr 0.9559 0.1825 0.5000
Sr 0.4559 0.8175 0.0000
Ag 0.5038 0.2940 0.2552
Ag 0.5038 0.2940 0.7448
Ag 0.0038 0.7060 0.7552
Ag 0.0038 0.7060 0.2448
Ge 0.5030 0.8050 0.5000
Ge 0.0030 0.1950 0.0000
Se 0.3516 0.2347 0.0000
Se 0.8516 0.7653 0.5000
Se 0.4188 0.1334 0.5000
Se 0.9188 0.8666 0.0000
Se 0.3815 0.6540 0.7061
Se 0.8815 0.3460 0.2061
Se 0.8815 0.3460 0.7939
Se 0.3815 0.6540 0.2939

E_form (uncorrected)   -5.14 eV/f.u.
Uncorrected energy   -3.8853 eV per atom
Crystal system   orthorhombic
ρ   5.0 g/cm3

=====

Below is crystalline Tl12BiPb7 at its relaxed geometry, with properties calculated at the PBE level.

Cell: 8.8848 8.8848 8.8848 Å, 103.26 103.26 103.26°
Sites, in units of the cell vectors:
Tl 0.9906 0.2538 0.7387
Tl 0.7462 0.2613 0.0094
Tl 0.5833 0.1806 0.6065
Tl 0.8194 0.3935 0.4167
Tl 0.2613 0.0094 0.7462
Tl 0.3935 0.4167 0.8194
Tl 0.6065 0.5833 0.1806
Tl 0.7387 0.9906 0.2538
Tl 0.1806 0.6065 0.5833
Tl 0.4167 0.8194 0.3935
Tl 0.2538 0.7387 0.9906
Tl 0.0094 0.7462 0.2613
Bi 0.0000 0.0000 0.0000
Pb 0.8283 0.5852 0.8407
Pb 0.4148 0.1593 0.1717
Pb 0.1593 0.1717 0.4148
Pb 0.5000 0.5000 0.5000
Pb 0.8407 0.8283 0.5852
Pb 0.5852 0.8407 0.8283
Pb 0.1717 0.4148 0.1593

Uncorrected energy   -2.8838 eV per atom
Energy of formation   0.03 eV/atom
Crystal system   trigonal
D(E_F)   0.4806 states/eV/atom
E above lowest polymorph   0.000 eV per atom
ρ   10.8 g/cm3

=====

Below is crystalline Sm5Bi2Os at its relaxed geometry, with properties calculated at the PBE level.

Cell: 5.9459 5.6136 16.8772 Å, 90.00 90.00 121.98°
Sites, in units of the cell vectors:
Sm 0.9468 0.8936 0.9014
Sm 0.9468 0.8936 0.5986
Sm 0.3817 0.7633 0.3531
Sm 0.3817 0.7633 0.1469
Sm 0.7319 0.4638 0.2500
Sm 0.2681 0.5362 0.7500
Sm 0.6183 0.2367 0.6469
Sm 0.6183 0.2367 0.8531
Sm 0.0532 0.1064 0.0986
Sm 0.0532 0.1064 0.4014
Bi 0.7119 0.4237 0.4435
Bi 0.7119 0.4237 0.0565
Bi 0.2881 0.5763 0.5565
Bi 0.2881 0.5763 0.9435
Os 0.8667 0.7334 0.7500
Os 0.1333 0.2666 0.2500

Uncorrected energy   -5.5905 eV per atom
Energy of formation   -0.27 eV/atom
Crystal system   orthorhombic
D(E_F)   0.8308 states/eV/atom
ρ   9.5 g/cm3

=====

Below is crystalline Tb7HoEr12 at its relaxed geometry, with properties calculated at the PBE level.

Cell: 9.6419 9.6419 9.6419 Å, 109.47 109.47 109.47°
Sites, in units of the cell vectors:
Tb 0.5000 0.5000 0.0000
Tb 0.0000 0.5000 0.5000
Tb 0.5000 0.0000 0.5000
Tb 0.5000 0.5000 0.5000
Tb 0.0000 0.0000 0.5000
Tb 0.5000 0.0000 0.0000
Tb 0.0000 0.5000 0.0000
Ho 0.0000 0.0000 0.0000
Er 0.5022 0.7514 0.7508
Er 0.0006 0.7514 0.2492
Er 0.4978 0.2486 0.2492
Er 0.9994 0.2486 0.7508
Er 0.7508 0.9994 0.2486
Er 0.7508 0.5022 0.7514
Er 0.2492 0.0006 0.7514
Er 0.2492 0.4978 0.2486
Er 0.7514 0.7508 0.5022
Er 0.2486 0.2492 0.4978
Er 0.7514 0.2492 0.0006
Er 0.2486 0.7508 0.9994

Uncorrected energy   -3.8656 eV per atom
Energy of formation   0.72 eV/atom
Crystal system   cubic
D(E_F)   1.1593 states/eV/atom
ρ   7.9 g/cm3

=====

Below is crystalline CaAlIr at its relaxed geometry, with properties calculated at the PBE level.

Cell: 4.6057 4.6057 4.6057 Å, 60.00 60.00 60.00°
Sites, in units of the cell vectors:
Ca 0.7500 0.7500 0.7500
Ir 0.0000 0.0000 0.0000
Al 0.5000 0.5000 0.5000

Uncorrected energy   -4.2603 eV per atom
Energy of formation   0.61 eV/atom
Crystal system   cubic
D(E_F)   0.3498 states/eV/atom
ρ   6.2 g/cm3

=====

Below is crystalline CaNbBi2 at its relaxed geometry, with properties calculated at the PBE level.

Cell: 5.2818 5.2818 5.2818 Å, 60.00 60.00 60.00°
Each line ends with the local moment (μB).
Sites, in units of the cell vectors:
Nb 0.5000 0.5000 0.5000  1.49
Ca 0.0000 0.0000 0.0000  0.03
Bi 0.2500 0.2500 0.2500  -0.08
Bi 0.7500 0.7500 0.7500  -0.08

Uncorrected energy   -4.9943 eV per atom
Energy of formation   -0.04 eV/atom
Crystal system   cubic
D(E_F)   0.6246 states/eV/atom
E above lowest polymorph   0.000 eV per atom
ρ   8.8 g/cm3

=====

Below is crystalline LuCdAg2 at its relaxed geometry, with properties calculated at the PBE level.

Cell: 3.5406 3.5406 6.7115 Å, 90.00 90.00 90.00°
Sites, in units of the cell vectors:
Lu 0.5000 0.5000 0.5000
Ag 0.0000 0.0000 0.7533
Ag 0.0000 0.0000 0.2467
Cd 0.5000 0.5000 0.0000

Uncorrected energy   -2.9954 eV per atom
Energy of formation   -0.21 eV/atom
Crystal system   tetragonal
D(E_F)   0.4798 states/eV/atom
E above lowest polymorph   0.043 eV per atom
ρ   9.9 g/cm3

=====

Below is crystalline CsGaRu3 at its relaxed geometry, with properties calculated at the PBE level.

Cell: 4.8593 4.8593 4.8593 Å, 90.00 90.00 90.00°
Each line ends with the local moment (μB).
Sites, in units of the cell vectors:
Cs 0.5000 0.5000 0.5000  0.04
Ru 0.0000 0.5000 0.0000  1.86
Ru 0.0000 0.0000 0.5000  1.76
Ru 0.5000 0.0000 0.0000  1.32
Ga 0.0000 0.0000 0.0000  -0.08

Uncorrected energy   -4.8471 eV per atom
Energy of formation   1.49 eV/atom
Crystal system   cubic
D(E_F)   1.7338 states/eV/atom
E above lowest polymorph   0.000 eV per atom
ρ   7.3 g/cm3